[1]
DFT (GGA-PBE) results for an optimized crystal structure of Ca3NdPb2.

Geometry as POSCAR:
```
Ca3NdPb2
1.0
5.432 0.000 0.000
0.000 9.689 0.000
0.000 0.000 7.195
Ca Nd Pb
6 2 4
Direct
0.000 0.027 0.000
0.000 0.327 0.297
0.000 0.673 0.797
0.000 0.973 0.500
0.500 0.167 0.724
0.500 0.833 0.224
0.500 0.483 0.020
0.500 0.517 0.520
0.000 0.342 0.770
0.000 0.658 0.270
0.500 0.163 0.249
0.500 0.837 0.749
```

**Total energy**: -3.535 eV per atom
**SG**: No. 26



[2]
DFT (GGA-PBE) results for an optimized crystal structure of TaFeAg3.

Geometry as POSCAR:
```
TaFeAg3
1.0
4.640 0.000 0.000
0.000 4.640 0.000
0.000 0.000 4.640
Ta Fe Ag
1 1 3
Direct
0.000 0.000 0.000
0.500 0.500 0.500
0.000 0.500 0.500
0.500 0.000 0.500
0.500 0.500 0.000
```

**Distance to the lowest polymorph of the same formula**: 0 meV per atom
**SG**: No. 221



[3]
DFT (GGA-PBE) results for an optimized crystal structure of LiYGaCu.

Geometry as POSCAR:
```
LiYGaCu
1.0
6.474 0.000 0.000
0.000 6.474 0.000
0.000 0.000 6.474
Li Y Ga Cu
4 4 4 4
Direct
0.000 0.000 0.000
0.000 0.500 0.500
0.500 0.000 0.500
0.500 0.500 0.000
0.250 0.250 0.250
0.250 0.750 0.750
0.750 0.250 0.750
0.750 0.750 0.250
0.250 0.250 0.750
0.250 0.750 0.250
0.750 0.250 0.250
0.750 0.750 0.750
0.000 0.000 0.500
0.000 0.500 0.000
0.500 0.000 0.000
0.500 0.500 0.500
```

**Total energy**: -4.253 eV per atom
**SG**: No. 216



[4]
DFT (GGA-PBE) results for an optimized crystal structure of PmPr2Sb.

Geometry as POSCAR:
```
PmPr2Sb
1.0
7.890 0.000 0.000
0.000 7.890 0.000
0.000 0.000 7.890
Pm Pr Sb
4 8 4
Direct
0.000 0.000 0.000
0.000 0.500 0.500
0.500 0.000 0.500
0.500 0.500 0.000
0.250 0.250 0.250
0.250 0.250 0.750
0.250 0.750 0.250
0.250 0.750 0.750
0.750 0.250 0.250
0.750 0.250 0.750
0.750 0.750 0.250
0.750 0.750 0.750
0.000 0.000 0.500
0.000 0.500 0.000
0.500 0.000 0.000
0.500 0.500 0.500
```

**Raw formation energy**: -0.323 eV per atom
**Distance to the lowest polymorph of the same formula**: 237 meV per atom
**SG**: No. 225



[5]
DFT (GGA-PBE) results for an optimized crystal structure of PaCoH6Ru.

Geometry as POSCAR:
```
PaCoH6Ru
1.0
4.463 0.000 0.000
-2.231 3.865 0.000
0.000 0.000 4.140
Pa Co H Ru
1 1 6 1
Direct
0.000 0.000 0.000
0.667 0.333 0.500
0.507 0.015 0.224
0.507 0.015 0.776
0.507 0.493 0.224
0.507 0.493 0.776
0.985 0.493 0.224
0.985 0.493 0.776
0.333 0.667 0.500
```

**Total energy**: -5.320 eV per atom
**SG**: No. 187



[6]
DFT (GGA-PBE) results for an optimized crystal structure of TiAl4Zn.

Geometry as POSCAR:
```
TiAl4Zn
1.0
3.402 0.000 0.000
0.000 3.402 0.000
0.000 0.000 8.406
Ti Al Zn
1 4 1
Direct
0.000 0.000 0.000
0.000 0.000 0.336
0.000 0.000 0.664
0.500 0.500 0.170
0.500 0.500 0.830
0.500 0.500 0.500
```

**Distance to the lowest polymorph of the same formula**: 17 meV per atom
**SG**: No. 123



[7]
DFT (GGA-PBE) results for an optimized crystal structure of TbNd2Cd2.

Geometry as POSCAR:
```
TbNd2Cd2
1.0
3.780 0.000 0.000
0.000 5.432 0.000
-1.889 0.000 14.195
Tb Nd Cd
2 4 4
Direct
0.150 0.250 0.298
0.850 0.750 0.702
0.044 0.750 0.087
0.234 0.750 0.469
0.766 0.250 0.531
0.956 0.250 0.913
0.361 0.250 0.722
0.443 0.750 0.887
0.557 0.250 0.113
0.639 0.750 0.278
```

**Distance to the lowest polymorph of the same formula**: 0 meV per atom
**SG**: No. 11



[8]
DFT (GGA-PBE) results for an optimized crystal structure of CrTe2Rh.

Geometry as POSCAR:
```
CrTe2Rh
1.0
3.591 0.000 0.000
0.000 3.591 0.000
0.000 0.000 7.035
Cr Te Rh
1 2 1
Direct
0.000 0.000 0.000
0.000 0.000 0.380
0.500 0.500 0.850
0.500 0.500 0.230
```

**Raw formation energy**: -0.140 eV per atom
**Distance to the lowest polymorph of the same formula**: 0 meV per atom
**SG**: No. 99



[9]
DFT (GGA-PBE) results for an optimized crystal structure of CsVZn.

Geometry as POSCAR:
```
CsVZn
1.0
4.624 0.000 0.000
0.007 4.766 0.000
0.006 0.016 11.118
Cs V Zn
2 2 2
Direct
0.000 0.000 0.000
0.500 0.499 0.571
0.497 0.197 0.270
0.503 0.802 0.270
0.000 0.500 0.298
0.000 0.999 0.349
```

**Distance to the lowest polymorph of the same formula**: 65 meV per atom
**SG**: No. 1



[10]
DFT (GGA-PBE) results for an optimized crystal structure of Sm3Tl5Ag12.

Geometry as POSCAR:
```
Sm3Tl5Ag12
1.0
-8.435 8.435 8.435
8.435 -8.435 8.435
8.435 8.435 -8.435
Sm Tl Ag
12 20 48
Direct
0.125 0.250 0.375
0.125 0.375 0.750
0.250 0.375 0.125
0.250 0.875 0.625
0.375 0.125 0.250
0.375 0.750 0.125
0.625 0.250 0.875
0.625 0.875 0.750
0.750 0.125 0.375
0.750 0.625 0.875
0.875 0.625 0.250
0.875 0.750 0.625
0.000 0.000 0.000
0.000 0.000 0.500
0.000 0.500 0.000
0.000 0.500 0.500
0.125 0.750 0.875
0.125 0.875 0.250
0.250 0.125 0.875
0.250 0.625 0.375
0.375 0.250 0.625
0.375 0.625 0.750
0.500 0.000 0.000
0.500 0.000 0.500
0.500 0.500 0.000
0.500 0.500 0.500
0.625 0.375 0.250
0.625 0.750 0.375
0.750 0.375 0.625
0.750 0.875 0.125
0.875 0.125 0.750
0.875 0.250 0.125
0.071 0.227 0.147
0.071 0.345 0.924
0.076 0.647 0.421
0.076 0.929 0.655
0.079 0.727 0.655
0.079 0.853 0.424
0.147 0.071 0.227
0.147 0.576 0.921
0.155 0.227 0.579
0.155 0.429 0.576
0.227 0.147 0.071
0.227 0.579 0.155
0.273 0.345 0.921
0.273 0.429 0.353
0.345 0.921 0.273
0.345 0.924 0.071
0.353 0.273 0.429
0.353 0.579 0.924
0.421 0.076 0.647
0.421 0.845 0.773
0.424 0.079 0.853
0.424 0.845 0.571
0.429 0.353 0.273
0.429 0.576 0.155
0.571 0.424 0.845
0.571 0.647 0.727
0.576 0.155 0.429
0.576 0.921 0.147
0.579 0.155 0.227
0.579 0.924 0.353
0.647 0.421 0.076
0.647 0.727 0.571
0.655 0.076 0.929
0.655 0.079 0.727
0.727 0.571 0.647
0.727 0.655 0.079
0.773 0.421 0.845
0.773 0.853 0.929
0.845 0.571 0.424
0.845 0.773 0.421
0.853 0.424 0.079
0.853 0.929 0.773
0.921 0.147 0.576
0.921 0.273 0.345
0.924 0.071 0.345
0.924 0.353 0.579
0.929 0.655 0.076
0.929 0.773 0.853
```

**Total energy**: -2.719 eV per atom
**SG**: No. 230